Entry from Alexandria via LeMat-Bulk: a relaxed Ba2Ca3P3 crystal (PBE).

* symmetry: P6_3/mcm (193)
* calculated density: 3.2 Mg/m³
* electronic total energy: -67.176 eV for the cell shown
* calculated formation energy: -7.5 eV/f.u.

Unit cell a=8.5536 b=8.5536 c=7.9208 alpha=90.00 beta=90.00 gamma=120.00
Fractional coordinates of all 16 atoms:
Ba1 0.3333 0.6667 0.0000
Ba2 0.3333 0.6667 0.5000
Ba3 0.6667 0.3333 0.0000
Ba4 0.6667 0.3333 0.5000
Ca1 0.0000 0.2538 0.2500
Ca2 0.0000 0.7462 0.7500
Ca3 0.2538 0.0000 0.2500
Ca4 0.2538 0.2538 0.7500
Ca5 0.7462 0.0000 0.7500
Ca6 0.7462 0.7462 0.2500
P1 0.0000 0.3843 0.7500
P2 0.0000 0.6157 0.2500
P3 0.3843 0.0000 0.7500
P4 0.3843 0.3843 0.2500
P5 0.6157 0.0000 0.2500
P6 0.6157 0.6157 0.7500